Record 1
# GGA-PBE EuYMg, optimized geometry
# Calculated total energy   -6.038 eV per atom
# DOS(E_F)   1.11 states/eV per atom
# Energy relative to the lowest polymorph listed for this composition   1.86 kcal/mol of atoms
# Energy of formation   0.0732 eV per atom
data_EuYMg
_symmetry_space_group_name_H-M 'P 3 m 1'
_symmetry_Int_Tables_number 156
_symmetry_space_group_name_Hall 'P 3 -2"'
_cell_length_a 5.6223
_cell_length_b 5.6223
_cell_length_c 3.4316
_cell_angle_alpha 90.00
_cell_angle_beta 90.00
_cell_angle_gamma 120.00
loop_
_atom_site_label
_atom_site_type_symbol
_atom_site_fract_x
_atom_site_fract_y
_atom_site_fract_z
_atom_site_occupancy
Eu1 Eu 0.0000 0.0000 0.0000 1
Y1 Y 0.3333 0.6667 0.3881 1
Mg1 Mg 0.6667 0.3333 0.7087 1

***

Record 2
# GGA-PBE EuYMg, optimized geometry
# Calculated total energy   -6.119 eV per atom
# DOS(E_F)   1.11 states/eV per atom
# Energy relative to the lowest polymorph listed for this composition   0.00 kcal/mol of atoms
# Energy of formation   -0.0075 eV per atom
data_EuYMg
_symmetry_space_group_name_H-M 'I 4 m m'
_symmetry_Int_Tables_number 107
_symmetry_space_group_name_Hall 'I 4 -2'
_cell_length_a 3.812
_cell_length_b 3.812
_cell_length_c 13.245
_cell_angle_alpha 90.00
_cell_angle_beta 90.00
_cell_angle_gamma 90.00
loop_
_atom_site_label
_atom_site_type_symbol
_atom_site_fract_x
_atom_site_fract_y
_atom_site_fract_z
_atom_site_occupancy
Eu1 Eu 0.000 0.000 0.000 1
Y1 Y 0.000 0.000 0.301 1
Mg1 Mg 0.000 0.000 0.663 1

***

Record 3
# GGA-PBE EuYMgZn, optimized geometry
# Calculated total energy   -5.036 eV per atom
# DOS(E_F)   1.34 states/eV per atom
# Energy of formation   -0.1341 eV per atom
data_EuYMgZn
_symmetry_space_group_name_H-M 'F -4 3 m'
_symmetry_Int_Tables_number 216
_symmetry_space_group_name_Hall 'F -4 2 3'
_cell_length_a 7.534
_cell_length_b 7.534
_cell_length_c 7.534
_cell_angle_alpha 90.00
_cell_angle_beta 90.00
_cell_angle_gamma 90.00
loop_
_atom_site_label
_atom_site_type_symbol
_atom_site_fract_x
_atom_site_fract_y
_atom_site_fract_z
_atom_site_occupancy
Eu1 Eu 0.000 0.000 0.000 1
Y1 Y 0.000 0.000 0.500 1
Mg1 Mg 0.250 0.250 0.750 1
Zn1 Zn 0.250 0.250 0.250 1

***

Record 4
# GGA-PBE EuMgZn2, optimized geometry
# Calculated total energy   -3.834 eV per atom
# DOS(E_F)   0.61 states/eV per atom
# Energy of formation   -0.2296 eV per atom
data_EuMgZn2
_symmetry_space_group_name_H-M 'F m -3 m'
_symmetry_Int_Tables_number 225
_symmetry_space_group_name_Hall '-F 4 2 3'
_cell_length_a 7.028
_cell_length_b 7.028
_cell_length_c 7.028
_cell_angle_alpha 90.00
_cell_angle_beta 90.00
_cell_angle_gamma 90.00
loop_
_atom_site_label
_atom_site_type_symbol
_atom_site_fract_x
_atom_site_fract_y
_atom_site_fract_z
_atom_site_occupancy
Eu1 Eu 0.000 0.000 0.000 1
Mg1 Mg 0.000 0.000 0.500 1
Zn1 Zn 0.250 0.250 0.250 1

***

Record 5
# GGA-PBE EuMgZn2, optimized geometry
# Calculated total energy   -3.711 eV per atom
# DOS(E_F)   1.84 states/eV per atom
# Energy of formation   -0.1072 eV per atom
data_EuMgZn2
_symmetry_space_group_name_H-M 'P 4/m m m'
_symmetry_Int_Tables_number 123
_symmetry_space_group_name_Hall '-P 4 2'
_cell_length_a 4.926
_cell_length_b 4.926
_cell_length_c 3.779
_cell_angle_alpha 90.00
_cell_angle_beta 90.00
_cell_angle_gamma 90.00
loop_
_atom_site_label
_atom_site_type_symbol
_atom_site_fract_x
_atom_site_fract_y
_atom_site_fract_z
_atom_site_occupancy
Eu1 Eu 0.000 0.000 0.000 1
Mg1 Mg 0.500 0.500 0.000 1
Zn1 Zn 0.000 0.500 0.500 1

***

Record 6
# GGA-PBE EuMgZn2, optimized geometry
# Calculated total energy   -3.747 eV per atom
# DOS(E_F)   1.28 states/eV per atom
# Energy of formation   -0.1426 eV per atom
data_EuMgZn2
_symmetry_space_group_name_H-M 'P 4/m m m'
_symmetry_Int_Tables_number 123
_symmetry_space_group_name_Hall '-P 4 2'
_cell_length_a 3.444
_cell_length_b 3.444
_cell_length_c 7.437
_cell_angle_alpha 90.00
_cell_angle_beta 90.00
_cell_angle_gamma 90.00
loop_
_atom_site_label
_atom_site_type_symbol
_atom_site_fract_x
_atom_site_fract_y
_atom_site_fract_z
_atom_site_occupancy
Eu1 Eu 0.000 0.000 0.000 1
Mg1 Mg 0.000 0.000 0.500 1
Zn1 Zn 0.500 0.500 0.285 1

***

| no. | calculated volume (Å³ per cell) |
| --- | --- |
| 1 | 93.94 |
| 2 | 192.50 |
| 3 | 427.62 |
| 4 | 347.07 |
| 5 | 91.72 |
| 6 | 88.19 |